1.
The following is a PBE-GGA calculation of a relaxed structure of TiHg3O2F6, from Alexandria.

The structure in POSCAR format:
```
TiHg3O2F6
1.0
-2.342 -4.252 -0.343
5.182 -2.538 -3.921
1.657 1.971 7.121
O Ti Hg F
2 1 3 6
Direct
0.718 0.331 0.663
0.282 0.669 0.337
0.500 0.000 0.000
0.500 0.000 0.500
0.000 0.500 0.000
0.500 0.500 0.500
0.241 0.711 0.814
0.711 0.910 0.821
0.759 0.289 0.186
0.289 0.090 0.179
0.241 0.103 0.814
0.759 0.897 0.186
```

Summary:
SG ... No. 12
Raw formation energy ... -1928.5 meV/atom
Size of the total moment ... 0.0 μB/cell

=====

2.
The following is a PBE-GGA calculation of a relaxed structure of ZnWAu2, from Alexandria.

The structure in POSCAR format:
```
ZnWAu2
1.0
-2.273 1.643 0.094
-0.110 0.003 -2.804
-4.895 -6.781 0.184
Au W Zn
2 1 1
Direct
0.000 0.000 0.984
0.500 0.500 0.261
0.000 0.000 0.510
0.500 0.500 0.745
```

Summary:
SG ... No. 99
Size of the total moment ... 0.0 μB/cell
ΔH_f (0 K) ... 0.142 eV per atom